Record 1
First-principles (PBEsol) data for an optimized crystal structure of SrTa2Si, as listed in the Alexandria database.

Calculated values
DOS(E_F) = 2.7 states/eV/cell
Calculated volume = 83.90 Å³ per cell
DFT total energy = -7.87 eV/atom
Raw formation energy = 0.302 eV/atom
Total moment = 0.0 μB/cell

Unit cell a=3.4194 b=3.4194 c=7.1761 alpha=90.00 beta=90.00 gamma=90.00
Sites, in units of the cell vectors:
Si 0.5000 0.5000 0.0000
Ta 0.0000 0.0000 0.8321
Ta 0.0000 0.0000 0.1679
Sr 0.5000 0.5000 0.5000

=====

Record 2
First-principles (PBEsol) data for an optimized crystal structure of SrTa2Si, as listed in the Alexandria database.

Calculated values
DOS(E_F) = 2.8 states/eV/cell
Calculated volume = 91.14 Å³ per cell
DFT total energy = -7.85 eV/atom
Raw formation energy = 0.320 eV/atom
Total moment = 0.0 μB/cell

Unit cell a=3.2126 b=4.6508 c=6.5806 alpha=98.42 beta=90.00 gamma=110.20
Sites, in units of the cell vectors:
Ta 0.2418 0.4837 0.7328
Ta 0.9776 0.9553 0.9056
Si 0.5128 0.0256 0.5971
Sr 0.7677 0.5354 0.2645

=====

Record 3
First-principles (PBEsol) data for an optimized crystal structure of SrTa2Si, as listed in the Alexandria database.

Calculated values
DOS(E_F) = 3.1 states/eV/cell
Calculated volume = 90.87 Å³ per cell
DFT total energy = -7.67 eV/atom
Raw formation energy = 0.498 eV/atom
Total moment = 0.0 μB/cell

Unit cell a=3.4572 b=4.4657 c=6.0071 alpha=90.00 beta=101.54 gamma=90.00
Sites, in units of the cell vectors:
Si 0.5000 0.5000 0.0000
Ta 0.6806 0.0000 0.8355
Ta 0.3194 0.0000 0.1645
Sr 0.0000 0.5000 0.5000

=====

Record 4
First-principles (PBEsol) data for an optimized crystal structure of Sr2SiTc, as listed in the Alexandria database.

Calculated values
DOS(E_F) = 3.6 states/eV/cell
Calculated volume = 91.58 Å³ per cell
DFT total energy = -4.56 eV/atom
Raw formation energy = 0.611 eV/atom
Total moment = 0.3 μB/cell

Unit cell a=3.1125 b=3.1125 c=9.4538 alpha=90.00 beta=90.00 gamma=90.00
Sites, in units of the cell vectors:
Tc 0.5000 0.5000 0.0000
Si 0.5000 0.5000 0.5000
Sr 0.0000 0.0000 0.2535
Sr 0.0000 0.0000 0.7465